Compound: La4Ti3O12
Source: Alexandria
Functional: PBE-GGA
Structure: relaxed

Calculated values
Relative energy among the computed polymorphs (kJ per mole of atoms): 5.4
Spin magnetization (μB per atom): 0.00

Cell lengths 5.556, 5.736, 7.954 Å; angles 91.45, 90.84, 90.58 degrees
Space group P-1 (No. 2)
Symmetry-distinct sites (fractional):
1 La 0.012 0.422 0.226
2 La 0.485 0.953 0.232
3 Ti 0.000 0.000 0.500
4 Ti 0.500 0.500 0.000
5 Ti 0.500 0.500 0.500
6 O 0.096 0.981 0.726
7 O 0.213 0.670 0.045
8 O 0.224 0.711 0.450
9 O 0.283 0.220 0.450
10 O 0.330 0.212 0.038
11 O 0.416 0.484 0.743

Compound: La2Ti2O7
Source: Alexandria
Functional: PBE-GGA
Structure: relaxed

Calculated values
Spin magnetization (μB per atom): 0.00

Cell lengths 10.485, 10.485, 10.485 Å; angles 90.00, 90.00, 90.00 degrees
Space group Fd-3m (No. 227, origin choice 2)
Symmetry-distinct sites (fractional):
1 La 0.000 0.000 0.000
2 Ti 0.000 0.000 0.500
3 O 0.073 0.375 0.875
4 O 0.125 0.125 0.125

Compound: La3TiO
Source: Alexandria
Functional: PBE-GGA
Structure: relaxed

Calculated values
Relative energy among the computed polymorphs (kJ per mole of atoms): 0.0
Spin magnetization (μB per atom): 0.10

Cell lengths 5.047, 5.047, 5.047 Å; angles 90.00, 90.00, 90.00 degrees
Space group Pm-3m (No. 221)
Symmetry-distinct sites (fractional):
1 La 0.000 0.000 0.500
2 Ti 0.500 0.500 0.500
3 O 0.000 0.000 0.000

Compound: La2Ti2O7
Source: Alexandria
Functional: PBE-GGA
Structure: relaxed

Calculated values
Spin magnetization (μB per atom): 0.00

Cell lengths 3.908, 25.859, 5.665 Å; angles 90.00, 90.00, 90.00 degrees
Space group Cmc2_1 (No. 36)
Symmetry-distinct sites (fractional):
1 La 0.000 0.051 0.000
2 La 0.000 0.203 0.581
3 Ti 0.000 0.338 0.534
4 Ti 0.000 0.438 0.995
5 O 0.000 0.050 0.454
6 O 0.000 0.153 0.983
7 O 0.000 0.280 0.321
8 O 0.000 0.299 0.798
9 O 0.000 0.381 0.172
10 O 0.000 0.408 0.669
11 O 0.000 0.487 0.251

Number 1: D(E_F) 0.000 states/eV per atom, uncorrected energy -8.697 eV/atom, formation energy without anion corrections -3.28 eV/atom. Number 2: D(E_F) 0.000 states/eV per atom, uncorrected energy -8.777 eV/atom, formation energy without anion corrections -3.29 eV/atom. Number 3: D(E_F) 1.155 states/eV per atom, uncorrected energy -6.506 eV/atom, formation energy without anion corrections -0.98 eV/atom. Number 4: D(E_F) 0.000 states/eV per atom, uncorrected energy -8.818 eV/atom, formation energy without anion corrections -3.33 eV/atom.